[1]
A plane-wave DFT calculation with GGA-PBE was carried out for EuDyAlPb after structural relaxation.

As for the calculated volume: 441.5 Å³ per cell. The calculation puts the formation energy at -0.33 eV per atom. As for the magnetic moment: 28.39 μB/cell. The value obtained for the total energy is -94.5 eV/cell.

abc: 7.615 7.615 7.615
angles: 90.00 90.00 90.00
Space group F-43m (No. 216)
Unique sites:
Eu  0.000  0.000  0.000
Dy  0.000  0.000  0.500
Al  0.250  0.250  0.750
Pb  0.250  0.250  0.250



[2]
A plane-wave DFT calculation with GGA-PBE was carried out for CsRb3Cu after structural relaxation.

As for the calculated volume: 596.4 Å³ per cell. The calculation puts the formation energy at 0.76 eV per atom. As for the magnetic moment: 0.00 μB/cell. The value obtained for the total energy is -4.0 eV/cell. The calculation puts the polymorph energy (0 for the lowest one) at 548.5 meV/atom.

abc: 8.417 8.417 8.417
angles: 90.00 90.00 90.00
Space group Pm-3m (No. 221)
Unique sites:
Cs  0.000  0.000  0.000
Rb  0.000  0.000  0.500
Cu  0.500  0.500  0.500



[3]
A plane-wave DFT calculation with GGA-PBE was carried out for Nd7Dy12Er after structural relaxation.

As for the calculated volume: 1454.3 Å³ per cell. The calculation puts the formation energy at 0.64 eV per atom. As for the magnetic moment: 0.00 μB/cell. The value obtained for the total energy is -160.7 eV/cell. The calculation puts the polymorph energy (0 for the lowest one) at 409.9 meV/atom.

abc: 11.330 11.330 11.330
angles: 90.00 90.00 90.00
Space group Im-3m (No. 229)
Unique sites:
Nd  0.000  0.000  0.500
Nd  0.250  0.250  0.250
Dy  0.000  0.246  0.246
Er  0.000  0.000  0.000



[4]
A plane-wave DFT calculation with GGA-PBE was carried out for K3Cd3Sn2 after structural relaxation.

As for the calculated volume: 1111.3 Å³ per cell. The calculation puts the formation energy at -0.15 eV per atom. As for the magnetic moment: 0.00 μB/cell. The value obtained for the total energy is -60.9 eV/cell.

abc: 5.287 12.079 17.402
angles: 90.00 90.00 90.00
Space group Cmcm (No. 63)
Unique sites:
K  0.000  0.074  0.250
K  0.000  0.403  0.106
Cd  0.000  0.116  0.032
Cd  0.000  0.241  0.750
Sn  0.000  0.298  0.594



[5]
A plane-wave DFT calculation with GGA-PBE was carried out for Li5InGe4 after structural relaxation.

As for the calculated volume: 168.0 Å³ per cell. The calculation puts the formation energy at -0.26 eV per atom. As for the magnetic moment: 0.00 μB/cell. The value obtained for the total energy is -33.3 eV/cell.

abc: 2.809 2.809 21.294
angles: 90.00 90.00 90.00
Space group P4/mmm (No. 123)
Unique sites:
Li  0.000  0.000  0.000
Li  0.000  0.000  0.195
Li  0.000  0.000  0.388
In  0.500  0.500  0.500
Ge  0.500  0.500  0.098
Ge  0.500  0.500  0.293